Below is YIn2CuCl after structural relaxation, with properties calculated at the PBE level.

The magnetic moment is 0.00 Bohr magnetons per cell. The value obtained for the volume is 29.7 A^3/atom.

The space group is P4/mmm (No. 123) and the conventional cell measures 5.395, 5.395 and 5.104 Å, with angles of 90.00, 90.00 and 90.00 degrees. Symmetry generates all atoms from Y at (0.000, 0.000, 0.000), In at (0.000, 0.500, 0.500), Cu at (0.500, 0.500, 0.000) and Cl at (0.000, 0.000, 0.500).

=====

Below is CuIrCl2 after structural relaxation, with properties calculated at the PBE level.

The magnetic moment is 0.43 Bohr magnetons per cell. The value obtained for the volume is 20.9 A^3/atom. The value obtained for the energy relative to the lowest polymorph listed for this composition is 289 meV/atom.

The space group is Amm2 (No. 38) and the conventional cell measures 4.063, 2.983 and 13.790 Å, with angles of 90.00, 90.00 and 90.00 degrees. Symmetry generates all atoms from Cu at (0.000, 0.000, 0.000), Ir at (0.000, 0.000, 0.649), Cl at (0.000, 0.000, 0.381) and Cl at (0.500, 0.000, 0.169).

=====

E_form (uncorrected)
In order: 0.268 0.322
Unit: eV per atom
Total DFT energy (no corrections)
In order: -3.309 -3.840
Unit: eV per atom